9
Lattice="7.4760 0.0000 4.1775 2.5708 7.0200 4.1775 -0.4698 -0.3283 9.6190" Properties=species:S:1:pos:R:3 comment="Rb6Au2Cl PBE relaxed" formation_energy_uncorrected_kj_per_mol_atoms=-50.92 magnetic_moment_mub_per_fu=0.00 sg="R-3, No. 148" vol_a3_per_cell=525.33 energy_ev_per_atom=-2.106 pbc="T T T"
Rb 5.6553 0.3732 10.8052
Rb 1.3084 2.4875 9.2017
Rb 4.5468 5.1821 12.0633
Rb 3.9216 6.3185 7.1688
Rb 8.2685 4.2043 8.7723
Rb 5.0302 1.5097 5.9107
Au 1.5769 1.1018 5.9562
Au 8.0001 5.5899 12.0178
Cl 0.0000 0.0000 0.0000

14
Lattice="-7.8603 -4.5657 0.0575 5.7543 -3.8793 5.8713 -1.4713 8.6362 2.4258" Properties=species:S:1:pos:R:3 comment="Rb8Au5Cl PBE relaxed" formation_energy_uncorrected_kj_per_mol_atoms=-45.10 magnetic_moment_mub_per_fu=0.00 sg="I-4, No. 82" vol_a3_per_cell=578.23 energy_ev_per_atom=-2.323 pbc="T T T"
Rb -3.7079 -6.3336 4.6216
Rb -0.2813 -0.5277 2.8940
Rb -0.4628 -2.8380 6.1468
Rb 0.9198 3.8969 4.8767
Rb -4.2718 -2.8021 2.8436
Rb -2.0335 5.7819 1.9061
Rb -1.1319 1.4618 7.2875
Rb -3.3397 2.1256 2.8422
Au -6.7229 2.6105 3.6341
Au -3.2170 -0.4676 5.2405
Au 2.6269 -4.4994 6.1809
Au -1.0530 -4.2225 2.9644
Au 0.1585 2.7389 1.6538
Cl 1.6150 0.2672 5.6308

6
Lattice="4.7152 -0.0004 -1.0743 -0.2445 4.7087 -1.0750 -0.0151 -0.0145 10.8184" Properties=species:S:1:pos:R:3 comment="Rb3AuCl2 PBE relaxed" formation_energy_uncorrected_kj_per_mol_atoms=-132.31 magnetic_moment_mub_per_fu=0.00 sg="I4/mmm, No. 139" vol_a3_per_cell=240.04 energy_ev_per_atom=-3.017 pbc="T T T"
Rb 4.1617 4.3947 7.4449
Rb 1.1683 1.2365 5.1843
Rb 2.7034 2.8529 1.0375
Au 1.9268 2.0410 8.5198
Cl 0.4514 0.4814 2.0385
Cl 3.4204 3.6086 4.1833

10
Lattice="8.0809 0.0000 0.0000 0.0000 8.0809 0.0000 4.0404 4.0404 5.3803" Properties=species:S:1:pos:R:3 comment="Rb3AuCl6 PBE relaxed" formation_energy_uncorrected_kj_per_mol_atoms=-113.58 magnetic_moment_mub_per_fu=0.00 sg="I4/mmm, No. 139" vol_a3_per_cell=351.34 energy_ev_per_atom=-2.903 polymorph_energy_ev_per_atom=0.132 pbc="T T T"
Au 0.0000 0.0000 0.0000
Rb 4.0404 4.0404 0.0000
Rb 8.0809 4.0404 2.6902
Rb 4.0404 8.0809 2.6902
Cl 4.0404 4.0404 3.0650
Cl 8.0809 8.0809 2.3154
Cl 1.8670 1.8670 0.0000
Cl 6.2139 6.2139 0.0000
Cl 6.2139 1.8670 0.0000
Cl 1.8670 6.2139 0.0000

16
Lattice="8.5300 0.0596 0.0000 -2.9481 8.0771 0.0000 0.0000 0.0000 9.9421" Properties=species:S:1:pos:R:3 comment="Rb4Au3Cl PBE relaxed" formation_energy_uncorrected_kj_per_mol_atoms=-65.26 magnetic_moment_mub_per_fu=0.00 sg="P2/c, No. 13" vol_a3_per_cell=686.74 energy_ev_per_atom=-2.620 pbc="T T T"
Au 6.3975 0.0447 3.7163
Au 2.1325 0.0149 6.2258
Au 4.9235 4.0832 6.2141
Au 4.9235 4.0832 1.2394
Au 0.6585 4.0534 3.7280
Au 0.6585 4.0534 8.7027
Rb 7.7313 2.0338 6.2987
Rb 3.5921 1.9401 8.7739
Rb 3.4662 2.0040 3.6434
Rb -0.6729 1.9103 1.1683
Rb 6.2549 6.2264 8.7739
Rb 2.1157 6.1326 6.2987
Rb 1.9898 6.1966 1.1683
Rb -2.1493 6.1028 3.6434
Cl 6.3975 0.0447 8.7308
Cl 2.1325 0.0149 1.2113

18
Lattice="6.7639 -0.4431 -0.4290 1.2354 9.4119 -0.5244 1.2354 -0.2192 9.4239" Properties=species:S:1:pos:R:3 comment="RbAu2Cl6 PBE relaxed" formation_energy_uncorrected_kj_per_mol_atoms=-58.50 magnetic_moment_mub_per_fu=0.00 sg="C2/c, No. 15" vol_a3_per_cell=609.70 energy_ev_per_atom=-2.673 pbc="T T T"
Rb 2.9264 1.7234 7.1956
Rb 6.3083 7.0261 1.2748
Au 3.4013 6.1289 7.3256
Au 2.4514 1.4507 2.7967
Au 5.8333 2.6206 1.1449
Au 6.7833 7.2988 5.6738
Cl 4.9114 7.1648 4.2735
Cl 0.9413 4.4677 1.6625
Cl 4.3232 1.5848 4.1969
Cl 8.2933 4.2819 6.8080
Cl 8.2919 6.9507 3.9227
Cl 4.3246 4.3821 1.4360
Cl 0.9427 1.7988 4.5478
Cl 4.9100 4.3674 7.0344
Cl 5.2858 7.6971 7.5770
Cl 0.5669 1.1486 1.2375
Cl 3.9488 1.0525 0.8934
Cl 8.6677 7.6009 7.2330

5
Lattice="6.6279 0.0000 0.0000 0.0000 6.6279 0.0000 3.3139 3.3139 4.1840" Properties=species:S:1:pos:R:3 comment="Rb2Au2Cl PBE relaxed" formation_energy_uncorrected_kj_per_mol_atoms=-50.49 magnetic_moment_mub_per_fu=0.00 sg="I4/mmm, No. 139" vol_a3_per_cell=183.80 energy_ev_per_atom=-2.591 polymorph_energy_ev_per_atom=0.000 pbc="T T T"
Au 3.3139 3.3139 1.3360
Au 6.6279 6.6279 2.8480
Rb 6.6279 3.3139 2.0920
Rb 3.3139 6.6279 2.0920
Cl 0.0000 0.0000 0.0000

11
Lattice="8.6003 -0.0017 -0.0083 0.0017 8.5622 -4.9447 -0.0088 -0.0107 9.8767" Properties=species:S:1:pos:R:3 comment="Rb8Au2Cl PBE relaxed" formation_energy_uncorrected_kj_per_mol_atoms=-36.82 magnetic_moment_mub_per_fu=0.00 sg="P-1, No. 2" vol_a3_per_cell=726.84 energy_ev_per_atom=-1.849 pbc="T T T"
Au 0.3810 2.8445 4.9282
Au 8.2122 5.7053 -0.0049
Rb 3.0068 5.7018 -0.0164
Rb 5.5865 2.8480 4.9395
Rb 6.6042 7.1975 -2.5909
Rb 2.0064 1.3544 2.3525
Rb 1.9934 5.8278 4.9176
Rb 1.9890 1.3523 7.5144
Rb 6.5869 7.1954 2.5711
Rb 6.5999 2.7219 0.0060
Cl -0.0088 -0.0107 9.8766

10
Lattice="8.8629 0.0000 0.0000 0.0000 8.8629 0.0000 0.0000 0.0000 4.5222" Properties=species:S:1:pos:R:3 comment="Rb2Au2Cl PBE relaxed" formation_energy_uncorrected_kj_per_mol_atoms=-45.14 magnetic_moment_mub_per_fu=0.00 sg="P4/mbm, No. 127" vol_a3_per_cell=355.22 energy_ev_per_atom=-2.535 polymorph_energy_ev_per_atom=0.055 pbc="T T T"
Au 3.4917 7.9232 0.0000
Au 7.9232 5.3711 0.0000
Au 5.3711 0.9397 0.0000
Au 0.9397 3.4917 0.0000
Rb 1.7094 6.1408 2.2611
Rb 6.1408 7.1535 2.2611
Rb 7.1535 2.7221 2.2611
Rb 2.7221 1.7094 2.2611
Cl 0.0000 0.0000 0.0000
Cl 4.4314 4.4314 0.0000

4
Lattice="-2.6828 -2.9247 3.6473 -5.0889 1.2614 1.2513 -4.0354 -3.2138 -1.5623" Properties=species:S:1:pos:R:3 comment="RbAu2Cl PBE relaxed" formation_energy_uncorrected_kj_per_mol_atoms=23.90 magnetic_moment_mub_per_fu=0.00 sg="Fm-3m, No. 225" vol_a3_per_cell=110.74 energy_ev_per_atom=-2.095 polymorph_energy_ev_per_atom=0.535 pbc="T T T"
Au -2.9518 -1.2193 0.8341
Au -8.8553 -3.6578 2.5022
Rb -5.9035 -2.4385 1.6681
Cl 0.0000 0.0000 0.0000

11
Lattice="-3.0971 -5.7798 5.6494 4.1635 -0.3470 6.4672 -2.7710 3.2895 6.3860" Properties=species:S:1:pos:R:3 comment="RbAu2Cl8 PBE relaxed" formation_energy_uncorrected_kj_per_mol_atoms=-34.46 magnetic_moment_mub_per_fu=1.10 sg="C2/m, No. 12" vol_a3_per_cell=401.94 energy_ev_per_atom=-2.384 pbc="T T T"
Rb 0.0000 0.0000 0.0000
Au -0.7468 -1.1061 14.2368
Au -0.9578 -1.7312 4.2657
Cl -1.8959 1.6030 9.2153
Cl -3.9315 -2.2783 9.2390
Cl -0.1862 -0.0808 12.2841
Cl -1.5184 -2.7565 6.2185
Cl 2.2269 -0.5590 9.2635
Cl 0.1913 -4.4403 9.2873
Cl -2.0256 -3.5795 12.6800
Cl 0.3210 0.7421 5.8226

19
Lattice="-2.6577 7.6682 5.9725 -5.2800 -7.4053 4.3382 9.1155 -1.9980 3.8015" Properties=species:S:1:pos:R:3 comment="Rb12Au6Cl PBE relaxed" formation_energy_uncorrected_kj_per_mol_atoms=-33.87 magnetic_moment_mub_per_fu=0.00 sg="R-3, No. 148" vol_a3_per_cell=975.10 energy_ev_per_atom=-2.094 pbc="T T T"
Rb -1.3313 1.1883 8.9803
Rb -0.2297 -3.9506 8.2566
Rb 3.6978 -0.3857 8.3671
Rb 2.5091 -2.9234 5.1319
Rb 1.4075 2.2155 5.8557
Rb -2.5200 -1.3493 5.7452
Rb -2.3342 -7.2205 5.7893
Rb 4.7922 -6.5891 6.7316
Rb -6.3588 -1.7623 8.2557
Rb 3.5120 5.4854 8.3230
Rb -3.6144 4.8541 7.3807
Rb 7.5366 0.0272 5.8566
Au -3.0784 -1.8302 9.3958
Au -2.0866 2.3481 5.5228
Au -0.9301 -4.2693 4.6127
Au 4.2562 0.0952 4.7165
Au 3.2644 -4.0832 8.5894
Au 2.1079 2.5343 9.4996
Cl 0.0000 0.0000 0.0000

11
Lattice="-1.4282 -4.3724 6.9208 -2.8763 -6.3617 -4.5068 5.2757 -8.2628 0.7698" Properties=species:S:1:pos:R:3 comment="Rb7Au3Cl PBE relaxed" formation_energy_uncorrected_kj_per_mol_atoms=-42.75 magnetic_moment_mub_per_fu=0.00 sg="Cm, No. 8" vol_a3_per_cell=551.22 energy_ev_per_atom=-2.121 pbc="T T T"
Rb 0.3442 -2.9327 0.4669
Rb -0.2331 -5.6525 3.5256
Rb 1.5187 -12.4295 5.5094
Rb -0.8416 -6.4883 -1.2760
Rb -0.0984 -10.2260 1.7926
Rb 0.6617 -13.6067 -1.2534
Rb 0.6409 -15.5462 2.6250
Au 0.7545 -8.9321 4.9025
Au 2.4958 -12.7395 1.9014
Au -0.0795 -10.0777 -1.6788
Cl -3.8309 -10.4951 2.3124

20
Lattice="-1.0968 -2.2624 -4.5373 -5.4172 -4.7382 3.6721 -12.4613 11.6241 -3.3843" Properties=species:S:1:pos:R:3 comment="Rb3AuCl6 PBE relaxed" formation_energy_uncorrected_kj_per_mol_atoms=-126.28 magnetic_moment_mub_per_fu=0.26 sg="P2_1/c, No. 14" vol_a3_per_cell=727.84 energy_ev_per_atom=-3.035 polymorph_energy_ev_per_atom=0.000 pbc="T T T"
Rb -14.8776 3.8400 -1.8831
Rb -3.2570 -3.5003 -0.4326
Rb -4.0977 0.7835 -2.3664
Rb -7.0157 0.1062 1.3437
Rb -6.2307 5.8120 -1.6922
Rb -11.9595 4.5172 -5.5932
Au -9.4876 2.3117 -2.1248
Au 0.0000 0.0000 0.0000
Cl -12.9739 8.2389 -5.9549
Cl -9.1905 4.3220 -3.2646
Cl -5.8007 -1.6185 -1.0676
Cl -13.1745 6.2420 -3.1819
Cl -9.7848 0.3014 -0.9849
Cl -6.0014 -3.6155 1.7054
Cl -7.3472 2.5501 -1.2130
Cl -2.2455 -0.2137 0.5837
Cl -13.7714 3.3231 1.0601
Cl -5.2039 1.3003 -5.3096
Cl -16.7297 4.8372 -4.8332
Cl -11.6281 2.0733 -3.0365

6
Lattice="5.0406 -0.0005 -1.1483 -0.2614 5.0331 -1.1493 -0.2113 -0.2219 10.7065" Properties=species:S:1:pos:R:3 comment="Rb3Au2Cl PBE relaxed" formation_energy_uncorrected_kj_per_mol_atoms=-75.01 magnetic_moment_mub_per_fu=0.00 sg="I4/mmm, No. 139" vol_a3_per_cell=269.05 energy_ev_per_atom=-2.661 pbc="T T T"
Rb 4.2784 4.5165 7.2090
Rb 1.1900 1.2599 5.2829
Rb 2.8028 2.9580 0.7260
Au 0.4442 0.4742 2.0097
Au 3.5489 3.7439 3.9990
Cl 1.8888 1.9999 8.3579

8
Lattice="-1.7244 1.0208 -4.8360 2.5195 -4.2249 -1.7902 -8.1146 -7.4421 -1.5106" Properties=species:S:1:pos:R:3 comment="RbAu2Cl PBE relaxed" formation_energy_uncorrected_kj_per_mol_atoms=-27.67 magnetic_moment_mub_per_fu=0.00 sg="I4_1/amd, No. 141" vol_a3_per_cell=287.16 energy_ev_per_atom=-2.629 polymorph_energy_ev_per_atom=0.000 pbc="T T T"
Au -2.3603 -2.0059 -2.4146
Au -1.1007 -4.1182 -3.3103
Au -5.1577 -7.8396 -4.0654
Au -6.0203 -7.3287 -6.4832
Rb 0.0000 0.0000 0.0000
Rb -4.7207 -4.0117 -4.8298
Cl 0.3976 -1.6021 -3.3131
Cl -2.5988 -6.6345 -3.3069

19
Lattice="-9.3725 2.8526 1.7691 1.8863 0.6646 -9.7525 1.2207 -9.4197 2.9817" Properties=species:S:1:pos:R:3 comment="Rb4Au3Cl12 PBE relaxed" formation_energy_uncorrected_kj_per_mol_atoms=-97.87 magnetic_moment_mub_per_fu=1.21 sg="Im-3, No. 204" vol_a3_per_cell=759.56 energy_ev_per_atom=-2.902 pbc="T T T"
Rb -3.1327 -2.9512 -2.5008
Rb -4.6863 1.4263 0.8846
Rb 0.6104 -4.7098 1.4909
Rb 0.9432 0.3323 -4.8762
Au -3.7431 1.7586 -3.9917
Au 1.5535 -4.3775 -3.3854
Au -4.0759 -3.2835 2.3754
Cl 0.8248 -6.6067 -3.6841
Cl -7.0902 0.7042 -1.3175
Cl -0.0816 -4.0528 -1.7090
Cl -1.8810 -6.9046 1.1362
Cl -6.3503 -3.7314 1.9108
Cl -2.2931 -4.0868 -5.5266
Cl -4.0648 -5.8786 -1.1927
Cl 0.0849 -2.1711 -6.9125
Cl -6.1838 -1.8497 -3.2927
Cl -4.3845 1.0022 -6.1378
Cl -3.9724 -1.8157 0.5249
Cl -2.2007 -0.0238 -3.8090

18
Lattice="8.4633 0.0000 -0.0194 4.2316 7.5444 -0.0097 -0.0442 0.0000 16.6632" Properties=species:S:1:pos:R:3 comment="Rb12Au5Cl PBE relaxed" formation_energy_uncorrected_kj_per_mol_atoms=-34.40 magnetic_moment_mub_per_fu=0.00 sg="C2/m, No. 12" vol_a3_per_cell=1063.95 energy_ev_per_atom=-2.015 pbc="T T T"
Rb 7.0705 0.0000 6.3427
Rb 1.3486 0.0001 10.3011
Rb 5.6793 0.0000 14.7218
Rb 6.9715 7.5444 1.9123
Rb 5.5124 5.1273 14.7120
Rb 2.9067 5.1273 1.9319
Rb 9.7441 2.4171 14.7023
Rb 7.1383 2.4171 1.9221
Rb 5.5936 2.5092 10.3282
Rb 9.8253 5.0353 10.3186
Rb 2.8255 2.5092 6.3156
Rb 7.0572 5.0353 6.3058
Au 4.2095 0.0000 8.3219
Au 4.2096 5.0035 8.3219
Au 8.4412 2.5411 8.3122
Au 8.4635 5.0225 -0.0194
Au 4.2316 2.5218 -0.0097
Cl 8.4633 0.0000 -0.0194

8
Lattice="-0.5986 -6.7003 -0.1301 3.0866 -2.1709 -5.5704 6.2962 -4.2739 0.7066" Properties=species:S:1:pos:R:3 comment="RbAuCl6 PBE relaxed" formation_energy_uncorrected_kj_per_mol_atoms=-54.80 magnetic_moment_mub_per_fu=0.00 sg="C2/m, No. 12" vol_a3_per_cell=264.71 energy_ev_per_atom=-2.484 pbc="T T T"
Rb 4.3921 -6.5725 -2.4969
Au 0.0000 0.0000 0.0000
Cl 3.6673 -3.0134 -3.4115
Cl 1.5352 -5.6340 -0.2639
Cl 7.2490 -7.5111 -4.7299
Cl 5.1169 -10.1317 -1.5823
Cl 0.8803 -1.9399 -1.0188
Cl 7.9039 -11.2052 -3.9751

28
Lattice="7.2534 -0.0365 -0.0056 3.1412 6.5381 -0.0056 2.1332 1.3343 18.4581" Properties=species:S:1:pos:R:3 comment="Rb3Au3Cl8 PBE relaxed" formation_energy_uncorrected_kj_per_mol_atoms=-100.63 magnetic_moment_mub_per_fu=0.00 sg="C2/c, No. 15" vol_a3_per_cell=877.57 energy_ev_per_atom=-3.008 pbc="T T T"
Rb 8.8110 1.0320 13.8380
Rb 3.7169 6.8039 4.6089
Rb 4.5929 2.7710 10.7482
Rb 9.0931 5.5858 16.9278
Rb 7.9350 5.0649 7.6987
Rb 3.4348 2.2501 1.5191
Au 0.0000 0.0000 0.0000
Au 1.0666 0.6671 9.2291
Au 5.7677 3.5751 14.9268
Au 7.8560 4.8813 12.7492
Au 6.7602 4.2608 3.5201
Au 4.6719 2.9546 5.6978
Cl 2.7656 3.6060 4.5688
Cl 7.0087 6.2599 4.6491
Cl 9.7623 4.2299 13.8781
Cl 5.5192 1.5759 13.7979
Cl 6.4640 2.1723 6.9302
Cl 6.6794 2.3070 2.2877
Cl 6.0639 5.6636 11.5168
Cl 5.8484 5.5289 16.1592
Cl 8.2728 2.5675 10.5718
Cl 7.6658 2.1878 17.1042
Cl 4.2551 5.2684 7.8752
Cl 4.8621 5.6481 1.3427
Cl 3.7159 2.6007 17.2662
Cl 9.6300 6.2999 10.4098
Cl 8.8120 5.2352 1.1807
Cl 2.8979 1.5360 8.0371